1.
Pm3GaCo2: optimized geometry, PBE.

SG	P2_1/c
electronic total energy	-129.7	eV per cell

Geometry as POSCAR:
```
Pm3GaCo2
1.0
8.274 0.000 0.000
0.000 8.039 0.000
-6.336 0.000 8.334
Pm Ga Co
12 4 8
Direct
0.211 0.030 0.463
0.211 0.470 0.963
0.228 0.691 0.684
0.228 0.809 0.184
0.246 0.032 0.919
0.246 0.468 0.419
0.754 0.532 0.581
0.754 0.968 0.081
0.772 0.191 0.816
0.772 0.309 0.316
0.789 0.530 0.037
0.789 0.970 0.537
0.368 0.194 0.260
0.368 0.306 0.760
0.632 0.694 0.240
0.632 0.806 0.740
0.027 0.232 0.175
0.027 0.268 0.675
0.434 0.004 0.770
0.434 0.496 0.270
0.566 0.504 0.730
0.566 0.996 0.230
0.973 0.732 0.325
0.973 0.768 0.825
```

---

2.
Pm3Ga2Co3: optimized geometry, PBE.

SG	Pnma
electronic total energy	-176.2	eV per cell

Geometry as POSCAR:
```
Pm3Ga2Co3
1.0
7.490 0.000 0.000
0.000 14.516 0.000
0.000 0.000 5.867
Pm Ga Co
12 8 12
Direct
0.020 0.105 0.157
0.020 0.395 0.157
0.159 0.250 0.613
0.341 0.750 0.113
0.480 0.605 0.657
0.480 0.895 0.657
0.520 0.105 0.343
0.520 0.395 0.343
0.659 0.250 0.887
0.841 0.750 0.387
0.980 0.605 0.843
0.980 0.895 0.843
0.133 0.598 0.355
0.133 0.902 0.355
0.367 0.098 0.855
0.367 0.402 0.855
0.633 0.598 0.145
0.633 0.902 0.145
0.867 0.098 0.645
0.867 0.402 0.645
0.165 0.039 0.580
0.165 0.461 0.580
0.190 0.750 0.568
0.310 0.250 0.068
0.335 0.539 0.080
0.335 0.961 0.080
0.665 0.039 0.920
0.665 0.461 0.920
0.690 0.750 0.932
0.810 0.250 0.432
0.835 0.539 0.420
0.835 0.961 0.420
```